(1)
Density functional theory data (PBE) for a relaxed structure of CrCo4.

Unit cell a=6.066 b=6.066 c=6.066 alpha=149.02 beta=149.02 gamma=44.38
Sites, in units of the cell vectors:
1 Cr 0.000 0.000 0.000
2 Co 0.250 0.750 0.500
3 Co 0.402 0.402 0.000
4 Co 0.598 0.598 0.000
5 Co 0.750 0.250 0.500

Its formation energy is 0.53 eV per atom. The distance to the lowest polymorph of the same formula comes out at 467 meV/atom.

(2)
Density functional theory data (PBE) for a relaxed structure of Te2AsRu.

Unit cell a=4.581 b=4.581 c=6.967 alpha=108.73 beta=108.73 gamma=49.21
Sites, in units of the cell vectors:
1 Te 0.000 0.000 0.000
2 Te 0.179 0.179 0.607
3 As 0.311 0.311 0.304
4 Ru 0.608 0.608 0.303

The value obtained for the total energy is -20.28 eV/f.u.

(3)
Density functional theory data (PBE) for a relaxed structure of AlTl3Br6.

Unit cell a=10.393 b=10.393 c=8.052 alpha=90.00 beta=90.00 gamma=104.62
Sites, in units of the cell vectors:
1 Al 0.191 0.809 0.500
2 Al 0.809 0.191 0.000
3 Tl 0.107 0.292 0.568
4 Tl 0.292 0.107 0.068
5 Tl 0.408 0.592 0.109
6 Tl 0.592 0.408 0.609
7 Tl 0.708 0.893 0.568
8 Tl 0.893 0.708 0.068
9 Br 0.054 0.946 0.419
10 Br 0.102 0.599 0.384
11 Br 0.204 0.796 0.786
12 Br 0.326 0.354 0.835
13 Br 0.354 0.326 0.335
14 Br 0.401 0.898 0.384
15 Br 0.599 0.102 0.884
16 Br 0.646 0.674 0.835
17 Br 0.674 0.646 0.335
18 Br 0.796 0.204 0.286
19 Br 0.898 0.401 0.884
20 Br 0.946 0.054 0.919

The distance to the lowest polymorph of the same formula comes out at 0 meV/atom.

(4)
Density functional theory data (PBE) for a relaxed structure of TaSi2Ru.

Unit cell a=4.990 b=4.990 c=4.990 alpha=136.70 beta=136.70 gamma=62.91
Sites, in units of the cell vectors:
1 Ta 0.000 0.000 0.000
2 Si 0.500 0.500 0.000
3 Si 0.750 0.250 0.500
4 Ru 0.250 0.750 0.500

The value obtained for the total energy is -32.98 eV/f.u.

(5)
Density functional theory data (PBE) for a relaxed structure of Y2ZrRu.

Unit cell a=6.130 b=6.130 c=6.130 alpha=146.73 beta=129.39 gamma=61.92
Sites, in units of the cell vectors:
1 Y 0.000 0.000 0.000
2 Y 0.706 0.206 0.500
3 Zr 0.301 0.801 0.500
4 Ru 0.486 0.486 0.000

Its formation energy is -0.24 eV per atom. The distance to the lowest polymorph of the same formula comes out at 0 meV/atom.

(6)
Density functional theory data (PBE) for a relaxed structure of In3Bi2Pb8.

Unit cell a=8.519 b=8.519 c=6.647 alpha=93.49 beta=93.49 gamma=61.79
Sites, in units of the cell vectors:
1 In 0.000 0.000 0.000
2 In 0.182 0.818 0.500
3 In 0.818 0.182 0.500
4 Bi 0.395 0.395 0.024
5 Bi 0.605 0.605 0.976
6 Pb 0.015 0.619 0.787
7 Pb 0.176 0.176 0.730
8 Pb 0.381 0.381 0.494
9 Pb 0.381 0.985 0.213
10 Pb 0.619 0.015 0.787
11 Pb 0.619 0.619 0.506
12 Pb 0.824 0.824 0.270
13 Pb 0.985 0.381 0.213

Its formation energy is 0.09 eV per atom. The distance to the lowest polymorph of the same formula comes out at 0 meV/atom.

(7)
Density functional theory data (PBE) for a relaxed structure of LiGdPaPd.

Unit cell a=5.016 b=5.016 c=5.016 alpha=60.00 beta=60.00 gamma=60.00
Sites, in units of the cell vectors:
1 Li 0.000 0.000 0.000
2 Gd 0.250 0.250 0.250
3 Pa 0.750 0.750 0.750
4 Pd 0.500 0.500 0.500

Its formation energy is -0.02 eV per atom.

(8)
Density functional theory data (PBE) for a relaxed structure of Lu6Mg.

Unit cell a=7.443 b=7.443 c=7.443 alpha=109.47 beta=109.47 gamma=109.47
Sites, in units of the cell vectors:
1 Lu 0.250 0.500 0.750
2 Lu 0.250 0.750 0.500
3 Lu 0.500 0.250 0.750
4 Lu 0.500 0.750 0.250
5 Lu 0.750 0.250 0.500
6 Lu 0.750 0.500 0.250
7 Mg 0.000 0.000 0.000

Its formation energy is 1.74 eV per atom.

(9)
Density functional theory data (PBE) for a relaxed structure of LiAc2Al2Pt5.

Unit cell a=10.711 b=10.711 c=3.478 alpha=90.00 beta=90.00 gamma=90.00
Sites, in units of the cell vectors:
1 Li 0.000 0.000 0.000
2 Li 0.500 0.500 0.000
3 Ac 0.178 0.322 0.000
4 Ac 0.322 0.822 0.000
5 Ac 0.678 0.178 0.000
6 Ac 0.822 0.678 0.000
7 Al 0.123 0.623 0.000
8 Al 0.377 0.123 0.000
9 Al 0.623 0.877 0.000
10 Al 0.877 0.377 0.000
11 Pt 0.000 0.500 0.500
12 Pt 0.062 0.793 0.500
13 Pt 0.207 0.062 0.500
14 Pt 0.293 0.562 0.500
15 Pt 0.438 0.293 0.500
16 Pt 0.500 0.000 0.500
17 Pt 0.562 0.707 0.500
18 Pt 0.707 0.438 0.500
19 Pt 0.793 0.938 0.500
20 Pt 0.938 0.207 0.500

Its formation energy is -0.79 eV per atom.

(10)
Density functional theory data (PBE) for a relaxed structure of Tl6ICl2F3.

Unit cell a=9.468 b=9.468 c=9.450 alpha=102.36 beta=102.36 gamma=27.35
Sites, in units of the cell vectors:
1 Tl 0.013 0.013 0.222
2 Tl 0.293 0.293 0.382
3 Tl 0.351 0.351 0.940
4 Tl 0.649 0.649 0.060
5 Tl 0.707 0.707 0.618
6 Tl 0.987 0.987 0.778
7 I 0.500 0.500 0.500
8 Cl 0.173 0.173 0.803
9 Cl 0.827 0.827 0.197
10 F 0.159 0.159 0.232
11 F 0.500 0.500 0.000
12 F 0.841 0.841 0.768

The value obtained for the total energy is -40.46 eV/f.u.

(11)
Density functional theory data (PBE) for a relaxed structure of IrF3.

Unit cell a=3.914 b=3.914 c=3.914 alpha=60.00 beta=60.00 gamma=60.00
Sites, in units of the cell vectors:
1 Ir 0.000 0.000 0.000
2 F 0.250 0.250 0.250
3 F 0.500 0.500 0.500
4 F 0.750 0.750 0.750

The value obtained for the total energy is -15.29 eV/f.u.

(12)
Density functional theory data (PBE) for a relaxed structure of Nd3Se2.

Unit cell a=10.524 b=10.524 c=10.524 alpha=22.49 beta=22.49 gamma=22.49
Sites, in units of the cell vectors:
1 Nd 0.000 0.000 0.000
2 Nd 0.215 0.215 0.215
3 Nd 0.785 0.785 0.785
4 Se 0.392 0.392 0.392
5 Se 0.608 0.608 0.608

The distance to the lowest polymorph of the same formula comes out at 0 meV/atom.

no.,Fermi-level density of states (states/eV per cell)
1,8.65
2,3.42
3,0.00
4,2.13
5,3.79
6,6.80
7,7.90
8,13.42
9,9.29
10,0.00
11,1.81
12,3.60